! Cr2FeRu GGA-PBE relaxed; values from VASP
&SYSTEM
  ibrav = 0, nat = 4, ntyp = 3
/
ATOMIC_SPECIES
Cr 52.00 Cr.upf
Ru 101.07 Ru.upf
Fe 55.84 Fe.upf
ATOMIC_POSITIONS angstrom
Cr -0.597 -2.274 -2.756
Cr 0.000 0.000 0.000
Ru -2.018 -1.386 -0.800
Fe 0.254 -2.540 -0.340
CELL_PARAMETERS angstrom
-2.869 -1.119 -3.216
1.675 -3.428 -2.296
-0.570 0.621 4.372
! Total moment, μB/atom: 0.243
! Energy relative to the lowest polymorph listed for this composition, eV per formula unit: 0.01
! ΔE_f, eV/f.u.: 0.467